No. 1
! HfMgW3 SCAN PBEsol geometry; values from VASP
&SYSTEM
  ibrav = 0, nat = 5, ntyp = 3
/
ATOMIC_SPECIES
Mg 24.30 Mg.upf
Hf 178.49 Hf.upf
W 183.84 W.upf
CELL_PARAMETERS angstrom
4.5515 0.0000 0.0000
0.0000 4.5515 0.0000
0.0000 0.0000 4.5515
ATOMIC_POSITIONS crystal
Mg 0.0000 0.0000 0.0000
Hf 0.5000 0.5000 0.5000
W 0.0000 0.5000 0.0000
W 0.0000 0.0000 0.5000
W 0.5000 0.0000 0.0000
! **Calculated total energy**: -53.09 eV/atom


No. 2
! LiFe2Si SCAN PBEsol geometry; values from VASP
&SYSTEM
  ibrav = 0, nat = 4, ntyp = 3
/
ATOMIC_SPECIES
Si 28.09 Si.upf
Fe 55.84 Fe.upf
Li 6.94 Li.upf
CELL_PARAMETERS angstrom
3.9031 0.0000 0.0000
1.9516 3.3802 0.0000
1.9516 1.1267 3.1869
ATOMIC_POSITIONS crystal
Si 0.2500 0.2500 0.2500
Fe 0.5000 0.5000 0.5000
Fe 0.7500 0.7500 0.7500
Li 0.0000 0.0000 0.0000
! **Formation energy without anion corrections**: -0.171 eV per atom


Looking at Fermi-level density of states for the records above, in order, we have 5.62; 1.33 states/eV per cell.